A plane-wave DFT calculation with PBE was carried out for crystalline PaGePb at its relaxed geometry.

POSCAR file:
```
PaGePb
1.0
-0.150 -2.650 4.244
-0.280 2.351 4.411
-4.224 -0.199 2.679
Ge Pa Pb
1 1 1
direct
0.500 0.500 0.500
0.250 0.250 0.250
0.000 0.000 0.000
```

**Energy above the lowest structure with this stoichiometry**: 50 meV/atom
**Symmetry**: F-43m, No. 216